(1)
A plane-wave DFT calculation with PBE was carried out for an optimized crystal structure of Dy2ScAl4Pt3.

Summary:
- spin magnetization (μB/f.u.) = 0.0
- formation energy from the elements (eV/atom) = -0.954

Cell: 4.117 4.117 11.479 Å, 90.00 90.00 90.00°
Space group P-4m2 (No. 115)
Symmetry-distinct sites (fractional):
Dy 0.000 0.500 0.235 x2
Sc 0.000 0.000 0.500 x1
Al 0.000 0.000 0.000 x1
Al 0.000 0.500 0.657 x2
Al 0.500 0.500 0.000 x1
Pt 0.000 0.500 0.871 x2
Pt 0.500 0.500 0.500 x1


(2)
A plane-wave DFT calculation with PBE was carried out for an optimized crystal structure of Dy2Al4SiPt3.

Summary:
- formation energy (no corrections) (eV per atom) = -0.967
- spin magnetization (μB/f.u.) = 0.0

Cell: 4.137 4.137 10.743 Å, 90.00 90.00 90.00°
Space group P-4m2 (No. 115)
Symmetry-distinct sites (fractional):
Dy 0.000 0.500 0.248 x2
Al 0.000 0.000 0.500 x1
Al 0.000 0.500 0.864 x2
Al 0.500 0.500 0.500 x1
Si 0.500 0.500 0.000 x1
Pt 0.000 0.000 0.000 x1
Pt 0.000 0.500 0.636 x2


(3)
A plane-wave DFT calculation with PBE was carried out for an optimized crystal structure of Dy3AlSi2Pt9.

Summary:
- formation energy (no corrections) (eV per atom) = -0.791
- spin magnetization (μB/f.u.) = 0.0

Cell: 6.3299 6.3299 8.9196 Å, 90.00 90.00 120.00°
Space group P-3m1 (No. 164)
Symmetry-distinct sites (fractional):
Dy 0.0000 0.0000 0.0000 x1
Dy 0.3333 0.6667 0.7209 x2
Al 0.0000 0.0000 0.5000 x1
Si 0.3333 0.6667 0.1827 x2
Pt 0.0000 0.5000 0.0000 x3
Pt 0.1425 0.2851 0.2793 x6


(4)
A plane-wave DFT calculation with PBE was carried out for an optimized crystal structure of DyAlSiPt3.

Summary:
- formation energy (no corrections) (eV per atom) = -0.872
- spin magnetization (μB/f.u.) = 0.0

Cell: 6.873 11.796 5.530 Å, 90.00 90.00 90.00°
Space group Cmcm (No. 63)
Symmetry-distinct sites (fractional):
Dy 0.000 0.202 0.250 x4
Al 0.000 0.459 0.250 x4
Si 0.000 0.125 0.750 x4
Pt 0.000 0.321 0.750 x4
Pt 0.206 0.000 0.000 x8


(5)
A plane-wave DFT calculation with PBE was carried out for an optimized crystal structure of SmDyAlPt.

Summary:
- spin magnetization (μB/f.u.) = 0.0
- formation energy from the elements (eV/atom) = -0.687

Cell: 7.194 7.194 7.194 Å, 90.00 90.00 90.00°
Space group F-43m (No. 216)
Symmetry-distinct sites (fractional):
Sm 0.000 0.000 0.000 x4
Dy 0.000 0.000 0.500 x4
Al 0.250 0.250 0.750 x4
Pt 0.250 0.250 0.250 x4


(6)
A plane-wave DFT calculation with PBE was carried out for an optimized crystal structure of Dy2AlSnPt6.

Summary:
- spin magnetization (μB/f.u.) = 0.0
- formation energy from the elements (eV/atom) = -0.891

Cell: 9.652 5.578 8.828 Å, 90.00 111.29 90.00°
Space group C2/m (No. 12)
Symmetry-distinct sites (fractional):
Dy 0.201 0.000 0.102 x4
Al 0.000 0.500 0.000 x2
Sn 0.000 0.000 0.500 x2
Pt 0.008 0.250 0.771 x8
Pt 0.243 0.500 0.228 x4


(7)
A plane-wave DFT calculation with PBE was carried out for an optimized crystal structure of TbDyAlPt.

Summary:
- spin magnetization (μB/f.u.) = 0.0
- formation energy from the elements (eV/atom) = -0.728

Cell: 7.129 7.129 7.129 Å, 90.00 90.00 90.00°
Space group F-43m (No. 216)
Symmetry-distinct sites (fractional):
Tb 0.000 0.000 0.000 x4
Dy 0.000 0.000 0.500 x4
Al 0.250 0.250 0.250 x4
Pt 0.250 0.250 0.750 x4


(8)
A plane-wave DFT calculation with PBE was carried out for an optimized crystal structure of Dy2TiAl4Pt3.

Summary:
- spin magnetization (μB/f.u.) = 0.0
- formation energy from the elements (eV/atom) = -0.930

Cell: 4.109 4.109 11.161 Å, 90.00 90.00 90.00°
Space group P-4m2 (No. 115)
Symmetry-distinct sites (fractional):
Dy 0.000 0.500 0.248 x2
Ti 0.000 0.000 0.500 x1
Al 0.000 0.000 0.000 x1
Al 0.000 0.500 0.646 x2
Al 0.500 0.500 0.000 x1
Pt 0.000 0.500 0.867 x2
Pt 0.500 0.500 0.500 x1


(9)
A plane-wave DFT calculation with PBE was carried out for an optimized crystal structure of Dy2TiAl2Pt5.

Summary:
- spin magnetization (μB/f.u.) = 0.0
- formation energy from the elements (eV/atom) = -1.036

Cell: 10.024 10.024 3.555 Å, 90.00 90.00 90.00°
Space group P4/mbm (No. 127)
Symmetry-distinct sites (fractional):
Dy 0.175 0.325 0.000 x4
Ti 0.000 0.000 0.000 x2
Al 0.125 0.625 0.000 x4
Pt 0.000 0.500 0.500 x2
Pt 0.052 0.798 0.500 x8


(10)
A plane-wave DFT calculation with PBE was carried out for an optimized crystal structure of Dy2TiAl3Pt4.

Summary:
- spin magnetization (μB/f.u.) = 0.0
- formation energy from the elements (eV/atom) = -1.065

Cell: 4.132 4.132 10.929 Å, 90.00 90.00 90.00°
Space group P-4m2 (No. 115)
Symmetry-distinct sites (fractional):
Dy 0.000 0.500 0.246 x2
Ti 0.000 0.000 0.500 x1
Al 0.000 0.500 0.869 x2
Al 0.500 0.500 0.500 x1
Pt 0.000 0.000 0.000 x1
Pt 0.000 0.500 0.642 x2
Pt 0.500 0.500 0.000 x1


(11)
A plane-wave DFT calculation with PBE was carried out for an optimized crystal structure of DyTiAlPt2.

Summary:
- spin magnetization (μB/f.u.) = 0.0
- formation energy from the elements (eV/atom) = -1.046

Cell: 4.058 4.058 11.634 Å, 90.00 90.00 90.00°
Space group I-4m2 (No. 119)
Symmetry-distinct sites (fractional):
Dy 0.000 0.000 0.000 x2
Ti 0.000 0.500 0.750 x2
Al 0.000 0.500 0.250 x2
Pt 0.000 0.000 0.386 x4


(12)
A plane-wave DFT calculation with PBE was carried out for an optimized crystal structure of DyAl2ZnPt4.

Summary:
- spin magnetization (μB/f.u.) = 0.0
- formation energy from the elements (eV/atom) = -0.964

Cell: 4.2833 4.2833 25.7262 Å, 90.00 90.00 120.00°
Space group R-3m (No. 166, hexagonal axes)
Symmetry-distinct sites (fractional):
Dy 0.0000 0.0000 0.0000 x3
Al 0.0000 0.0000 0.2412 x6
Zn 0.0000 0.0000 0.5000 x3
Pt 0.0000 0.0000 0.1325 x6
Pt 0.0000 0.0000 0.4007 x6